No. 1
Compound: ZrNiPb2
Source: Alexandria
Functional: PBE
Structure: relaxed

extended XYZ file:
```
4
Lattice="1.655 0.956 9.271 -1.655 0.956 9.271 0.000 -1.911 9.271" Properties=species:S:1:pos:R:3 pbc="T T T"
Zr 0.000 0.000 0.000
Ni 0.000 0.000 13.907
Pb 0.000 0.000 6.623
Pb 0.000 0.000 21.190
```

V   88.0 Å³/cell
Total energy   -0.38639 Ry/atom
Magnetization   0.00 μB/cell

=====

No. 2
Compound: ZrNi3Pb
Source: Alexandria
Functional: PBE
Structure: relaxed

extended XYZ file:
```
5
Lattice="4.661 0.000 0.000 0.000 4.661 0.000 0.000 0.000 4.661" Properties=species:S:1:pos:R:3 pbc="T T T"
Zr 0.000 0.000 0.000
Ni 0.000 2.331 2.331
Ni 2.331 0.000 2.331
Ni 2.331 2.331 0.000
Pb 2.331 2.331 2.331
```

V   101.3 Å³/cell
E above lowest polymorph   0.0671 eV per atom
Total energy   -0.36398 Ry/atom
Magnetization   0.00 μB/cell

=====

No. 3
Compound: ZrNiPb2
Source: Alexandria
Functional: PBE
Structure: relaxed

extended XYZ file:
```
4
Lattice="0.000 3.583 3.583 3.583 0.000 3.583 3.583 3.583 0.000" Properties=species:S:1:pos:R:3 pbc="T T T"
Zr 0.000 0.000 0.000
Ni 5.375 5.375 5.375
Pb 1.792 1.792 1.792
Pb 3.583 3.583 3.583
```

V   92.0 Å³/cell
Total energy   -0.37293 Ry/atom
Magnetization   0.00 μB/cell

=====

No. 4
Compound: ZrNiPb2
Source: Alexandria
Functional: PBE
Structure: relaxed

extended XYZ file:
```
4
Lattice="4.585 0.000 0.000 0.000 4.585 0.000 0.000 0.000 4.074" Properties=species:S:1:pos:R:3 pbc="T T T"
Zr 0.000 0.000 0.000
Ni 2.293 2.293 0.000
Pb 0.000 2.293 2.037
Pb 2.293 0.000 2.037
```

V   85.7 Å³/cell
Total energy   -0.39208 Ry/atom
Magnetization   0.00 μB/cell

=====

No. 5
Compound: ZrNiPb2
Source: Alexandria
Functional: PBE
Structure: relaxed

extended XYZ file:
```
4
Lattice="3.684 0.000 0.000 0.000 4.439 0.000 -1.828 0.000 5.628" Properties=species:S:1:pos:R:3 pbc="T T T"
Zr 0.000 0.000 0.000
Ni 0.010 2.220 1.494
Pb 0.012 2.220 4.705
Pb 1.845 0.000 2.516
```

V   92.0 Å³/cell
Total energy   -0.39349 Ry/atom
Magnetization   0.00 μB/cell

=====

No. 6
Compound: ZrNi3Pb
Source: Alexandria
Functional: PBE
Structure: relaxed

extended XYZ file:
```
5
Lattice="4.722 0.000 0.000 0.000 4.722 0.000 0.000 0.000 4.722" Properties=species:S:1:pos:R:3 pbc="T T T"
Zr 0.000 0.000 0.000
Ni 0.000 0.000 2.361
Ni 0.000 2.361 0.000
Ni 2.361 0.000 0.000
Pb 2.361 2.361 2.361
```

V   105.3 Å³/cell
E above lowest polymorph   0.0000 eV per atom
Total energy   -0.36892 Ry/atom
Magnetization   0.00 μB/cell